Record 1
# Tc4HgAs

A geometry-optimized Tc4HgAs structure (PBE, the Alexandria database).

abc: 5.234 5.234 5.234
angles: 60.00 60.00 60.00
Fractional coordinates of all 6 atoms:
Tc  0.127  0.624  0.624
Tc  0.624  0.624  0.624
Tc  0.624  0.127  0.624
Tc  0.624  0.624  0.127
As  0.250  0.250  0.250
Hg  0.000  0.000  0.000

Summary:
- ρ (Mg/m³) = 10.9
- energy relative to the elements (eV per atom) = 0.632
- E (eV for the cell shown) = -42.6
- density of states at the Fermi level (states/eV per atom) = 0.998

Record 2
# TcHgAs2

A geometry-optimized TcHgAs2 structure (PBE, the Alexandria database).

abc: 9.481 9.481 3.057
angles: 71.33 71.33 18.63
Fractional coordinates of all 4 atoms:
As  0.272  0.272  0.261
As  0.102  0.102  0.598
Tc  0.687  0.687  0.941
Hg  0.440  0.440  0.700

Summary:
- ρ (Mg/m³) = 9.0
- energy relative to the elements (eV per atom) = -0.076
- E (eV for the cell shown) = -20.3
- density of states at the Fermi level (states/eV per atom) = 0.262

Record 3
# TcHgAs2

A geometry-optimized TcHgAs2 structure (PBE, the Alexandria database).

abc: 3.059 3.059 8.819
angles: 90.00 90.00 90.00
Fractional coordinates of all 4 atoms:
Hg  0.500  0.500  0.250
Tc  0.500  0.500  0.750
As  0.000  0.000  0.920
As  0.000  0.000  0.580

Summary:
- ρ (Mg/m³) = 9.0
- energy relative to the elements (eV per atom) = -0.077
- E (eV for the cell shown) = -20.3
- density of states at the Fermi level (states/eV per atom) = 0.323

Record 4
# TcHgAs2

A geometry-optimized TcHgAs2 structure (PBE, the Alexandria database).

abc: 2.958 2.958 10.690
angles: 90.00 90.00 116.29
Fractional coordinates of all 4 atoms:
As  0.000  0.000  0.564
As  0.000  0.000  0.936
Hg  0.500  0.500  0.250
Tc  0.500  0.500  0.750

Summary:
- ρ (Mg/m³) = 8.9
- energy relative to the elements (eV per atom) = 0.190
- E (eV for the cell shown) = -19.2
- density of states at the Fermi level (states/eV per atom) = 0.730

Record 5
# TcHg3As

A geometry-optimized TcHg3As structure (PBE, the Alexandria database).

abc: 5.277 5.277 5.277
angles: 90.00 90.00 90.00
Site moments in Bohr magnetons follow the coordinates.
Fractional coordinates of all 5 atoms:
Hg  0.500  0.000  0.000  -0.01
Hg  0.000  0.500  0.000  0.02
Hg  0.000  0.000  0.500  0.05
As  0.500  0.500  0.500  0.23
Tc  0.000  0.000  0.000  2.13

Summary:
- ρ (Mg/m³) = 8.8
- offset from the most stable computed form (meV/atom) = 0
- energy relative to the elements (eV per atom) = 1.067
- E (eV for the cell shown) = -10.6
- density of states at the Fermi level (states/eV per atom) = 0.884

Record 6
# TcHgAs2

A geometry-optimized TcHgAs2 structure (PBE, the Alexandria database).

abc: 6.778 4.701 3.347
angles: 90.21 60.07 122.91
Site moments in Bohr magnetons follow the coordinates.
Fractional coordinates of all 4 atoms:
As  0.500  0.000  0.500  0.00
As  0.000  0.000  0.000  0.00
Tc  0.500  0.500  0.000  0.60
Hg  0.000  0.500  0.500  0.00

Summary:
- ρ (Mg/m³) = 10.3
- energy relative to the elements (eV per atom) = 0.568
- E (eV for the cell shown) = -17.7
- density of states at the Fermi level (states/eV per atom) = 0.977

Record 7
# Tc2HgAs2

A geometry-optimized Tc2HgAs2 structure (PBE, the Alexandria database).

abc: 3.877 3.877 6.507
angles: 72.67 72.67 90.00
Fractional coordinates of all 5 atoms:
Tc  0.616  0.616  0.769
Tc  0.384  0.384  0.231
As  0.250  0.750  0.500
As  0.750  0.250  0.500
Hg  0.000  0.000  0.000

Summary:
- ρ (Mg/m³) = 10.2
- offset from the most stable computed form (meV/atom) = 100
- energy relative to the elements (eV per atom) = 0.206
- E (eV for the cell shown) = -29.3
- density of states at the Fermi level (states/eV per atom) = 0.865

Record 8
# TcHgAs2

A geometry-optimized TcHgAs2 structure (PBE, the Alexandria database).

abc: 2.985 2.985 10.062
angles: 90.00 90.00 116.26
Fractional coordinates of all 4 atoms:
Tc  0.500  0.500  0.763
As  0.000  0.000  0.944
As  0.500  0.500  0.273
Hg  0.000  0.000  0.520

Summary:
- ρ (Mg/m³) = 9.3
- energy relative to the elements (eV per atom) = 0.403
- E (eV for the cell shown) = -18.4
- density of states at the Fermi level (states/eV per atom) = 0.394

Record 9
# TcHg4As

A geometry-optimized TcHg4As structure (PBE, the Alexandria database).

abc: 5.719 5.719 5.719
angles: 60.00 60.00 60.00
Site moments in Bohr magnetons follow the coordinates.
Fractional coordinates of all 6 atoms:
Hg  0.375  0.874  0.375  -0.04
Hg  0.375  0.375  0.874  -0.04
Hg  0.375  0.375  0.375  -0.04
Hg  0.874  0.375  0.375  -0.04
Tc  0.750  0.750  0.750  2.21
As  0.000  0.000  0.000  -0.14

Summary:
- ρ (Mg/m³) = 12.2
- energy relative to the elements (eV per atom) = 0.866
- E (eV for the cell shown) = -11.0
- density of states at the Fermi level (states/eV per atom) = 0.818

Record 10
# TcHgAs2

A geometry-optimized TcHgAs2 structure (PBE, the Alexandria database).

abc: 5.332 5.332 5.332
angles: 136.10 136.10 63.83
Site moments in Bohr magnetons follow the coordinates.
Fractional coordinates of all 4 atoms:
As  0.000  0.000  0.000  -0.01
As  0.250  0.750  0.500  -0.01
Tc  0.750  0.250  0.500  0.39
Hg  0.500  0.500  0.000  0.00

Summary:
- ρ (Mg/m³) = 10.4
- energy relative to the elements (eV per atom) = 0.615
- E (eV for the cell shown) = -17.5
- density of states at the Fermi level (states/eV per atom) = 0.854

Record 11
# TcHgAs2

A geometry-optimized TcHgAs2 structure (PBE, the Alexandria database).

abc: 3.371 5.714 5.443
angles: 44.93 90.00 90.00
Fractional coordinates of all 4 atoms:
As  0.000  0.000  0.000
As  0.500  0.500  0.000
Tc  0.000  0.000  0.500
Hg  0.500  0.500  0.500

Summary:
- ρ (Mg/m³) = 10.1
- energy relative to the elements (eV per atom) = 0.529
- E (eV for the cell shown) = -17.9
- density of states at the Fermi level (states/eV per atom) = 0.904

Record 12
# TcHgAs2

A geometry-optimized TcHgAs2 structure (PBE, the Alexandria database).

abc: 3.191 3.190 8.324
angles: 90.00 90.00 90.00
Fractional coordinates of all 4 atoms:
Tc  0.500  0.500  0.954
As  0.000  0.000  0.821
As  0.500  0.500  0.234
Hg  0.000  0.000  0.490

Summary:
- ρ (Mg/m³) = 8.8
- energy relative to the elements (eV per atom) = 0.153
- E (eV for the cell shown) = -19.4
- density of states at the Fermi level (states/eV per atom) = 0.834